# 1
Entry from Alexandria: a relaxed Sm7Hg2N2 crystal (PBE).

Cell: 6.759 6.671 6.759 Å, 94.86 112.41 85.14°
Sites, in units of the cell vectors:
Sm: 0.053 0.230 0.500
Sm: 0.500 0.770 0.053
Sm: 0.947 0.770 0.500
Sm: 0.500 0.230 0.947
Sm: 0.000 0.000 0.000
Sm: 0.436 0.794 0.564
Sm: 0.564 0.206 0.436
Hg: 0.815 0.500 0.815
Hg: 0.185 0.500 0.185
N: 0.771 0.024 0.229
N: 0.229 0.976 0.771

Output
M_tot   0.0 μB/cell
Calculated volume   25.48 Å³/atom
ΔE_f (raw)   -0.511 eV per atom
DOS at the Fermi energy   10.33 states/eV per cell

***

# 2
Entry from Alexandria: a relaxed Th2Zn4Cd3 crystal (PBE).

Cell: 6.098 7.909 8.678 Å, 90.00 110.57 90.00°
Sites, in units of the cell vectors:
Th: 0.104 0.596 0.207
Th: 0.896 0.404 0.793
Th: 0.396 0.096 0.793
Th: 0.604 0.904 0.207
Zn: 0.690 0.750 0.880
Zn: 0.810 0.250 0.120
Zn: 0.310 0.250 0.120
Zn: 0.190 0.750 0.880
Zn: 0.170 0.976 0.341
Zn: 0.830 0.024 0.659
Zn: 0.330 0.476 0.659
Zn: 0.670 0.524 0.341
Cd: 0.000 0.000 0.000
Cd: 0.500 0.500 0.000
Cd: 0.522 0.750 0.543
Cd: 0.978 0.250 0.457
Cd: 0.478 0.250 0.457
Cd: 0.022 0.750 0.543

Output
M_tot   0.0 μB/cell
Calculated volume   21.77 Å³/atom
DFT formation energy   -138 meV per atom
DOS at the Fermi energy   12.48 states/eV per cell

***

Number 1 is which compound?
Sm7Hg2N2